First-principles (meta-GGA SCAN) data for YTaTc3 at its PBEsol-relaxed geometry, as listed in Alexandria.

- magnetic moment (μB per cell) = 0.0
- total energy (eV per atom) = -37.590
- DFT formation energy (kJ/mol of formula units) = 1124.4
- DOS at the Fermi energy (states/eV/atom) = 0.616
- space group = Pm-3m

a b c (Å): 4.566 4.566 4.566
angles (deg): 90.00 90.00 90.00
Fractional positions:
Tc: 0.500 0.000 0.000
Tc: 0.000 0.500 0.000
Tc: 0.000 0.000 0.500
Ta: 0.500 0.500 0.500
Y: 0.000 0.000 0.000

---

First-principles (meta-GGA SCAN) data for Y2ZrCu at its PBEsol-relaxed geometry, as listed in Alexandria.

- magnetic moment (μB per cell) = 0.0
- total energy (eV per atom) = -25.448
- DFT formation energy (kJ/mol of formula units) = -20.0
- DOS at the Fermi energy (states/eV/atom) = 0.981
- space group = Imm2

a b c (Å): 3.410 5.034 6.195
angles (deg): 113.97 105.98 90.00
Fractional positions:
Y: 0.964 0.964 0.927
Y: 0.754 0.254 0.508
Zr: 0.544 0.544 0.089
Cu: 0.238 0.738 0.476

---

First-principles (meta-GGA SCAN) data for GeTePb2Se2 at its PBEsol-relaxed geometry, as listed in Alexandria.

- magnetic moment (μB per cell) = 0.0
- total energy (eV per atom) = -41.706
- raw formation energy (meV/atom) = -363
- space group = P3m1

a b c (Å): 4.250 4.250 10.564
angles (deg): 90.00 90.00 120.00
Fractional positions:
Pb: 0.667 0.333 0.342
Pb: 0.333 0.667 0.682
Te: 0.333 0.667 0.139
Ge: 0.000 0.000 0.990
Se: 0.000 0.000 0.502
Se: 0.667 0.333 0.844

---

First-principles (meta-GGA SCAN) data for AlCdRu4 at its PBEsol-relaxed geometry, as listed in Alexandria.

- magnetic moment (μB per cell) = 2.9
- total energy (eV per atom) = -29.249
- DFT formation energy (kJ/mol of formula units) = 190.6
- DOS at the Fermi energy (states/eV/atom) = 0.827
- space group = F-43m

a b c (Å): 5.062 5.062 5.062
angles (deg): 60.00 60.00 60.00
Site moments in Bohr magnetons follow the coordinates.
Fractional positions:
Ru: 0.625 0.625 0.126  0.76
Ru: 0.625 0.625 0.625  0.76
Ru: 0.126 0.625 0.625  0.76
Ru: 0.625 0.126 0.625  0.76
Al: 0.250 0.250 0.250  -0.03
Cd: 0.000 0.000 0.000  -0.04